Entry 1:
Crystalline TlTeCl4 at its relaxed geometry. Source: Alexandria via LeMat-Bulk, functional PBEsol.

```
TlTeCl4
1.0
6.004 0.000 0.000
3.002 5.199 0.000
3.002 1.733 4.902
Cl Tl Te
4 1 1
direct
0.375 0.375 0.375 Cl
0.375 0.875 0.375 Cl
0.375 0.375 0.875 Cl
0.875 0.375 0.375 Cl
0.000 0.000 0.000 Tl
0.750 0.750 0.750 Te
```

Computed properties:
As for the density of states at the Fermi level: 1.1381 states/eV/atom. Its total energy is -2.059 eV/atom. The value obtained for the uncorrected formation energy is 306 meV per atom.

Entry 2:
Crystalline SbTe2Au at its relaxed geometry. Source: Alexandria via LeMat-Bulk, functional PBEsol.

```
SbTe2Au
1.0
3.963 0.000 0.000
0.000 5.587 0.000
-1.981 -2.793 4.892
Te Au Sb
2 1 1
direct
0.823 0.323 0.647 Te
0.955 0.955 0.910 Te
0.517 0.517 0.035 Au
0.204 0.704 0.408 Sb
```

Computed properties:
As for the density of states at the Fermi level: 0.5408 states/eV/atom. Its total energy is -3.719 eV/atom. The value obtained for the uncorrected formation energy is 164 meV per atom.

Entry 3:
Crystalline BaNaGaBr2 at its relaxed geometry. Source: Alexandria via LeMat-Bulk, functional PBEsol.

```
BaNaGaBr2
1.0
-2.047 -2.042 4.536
-4.635 -1.639 -2.830
2.456 -4.985 -1.135
Br Na Ba Ga
2 1 1 1
direct
0.000 0.000 0.500 Br
0.000 0.500 0.000 Br
0.500 0.000 0.000 Na
0.500 0.500 0.500 Ba
0.000 0.000 0.000 Ga
```

Computed properties:
As for the density of states at the Fermi level: 0.1457 states/eV/atom. Its total energy is -2.760 eV/atom. The value obtained for the uncorrected formation energy is -635 meV per atom.

Entry 4:
Crystalline ZrNiIO2 at its relaxed geometry. Source: Alexandria via LeMat-Bulk, functional PBEsol.

```
ZrNiIO2
1.0
3.974 0.000 0.000
0.000 3.974 0.000
0.000 0.000 4.676
Zr O I Ni
1 2 1 1
direct
0.500 0.500 0.500 Zr
0.500 0.000 0.000 O
0.000 0.500 0.000 O
0.000 0.000 0.500 I
0.000 0.000 0.000 Ni
```

Computed properties:
As for the density of states at the Fermi level: 0.5360 states/eV/atom. Its total energy is -5.722 eV/atom. The value obtained for the uncorrected formation energy is -220 meV per atom.

Entry 5:
Crystalline LaGePd at its relaxed geometry. Source: Alexandria via LeMat-Bulk, functional PBEsol.

```
LaGePd
1.0
4.470 0.000 0.000
2.235 5.224 -0.011
2.235 -0.010 5.520
Pd Ge La
2 2 2
direct
0.183 0.346 0.288 Pd
0.817 0.654 0.712 Pd
0.160 0.793 0.887 Ge
0.840 0.207 0.113 Ge
0.531 0.230 0.708 La
0.469 0.770 0.292 La
```

Computed properties:
As for the density of states at the Fermi level: 0.4682 states/eV/atom. Its total energy is -6.306 eV/atom. The energy relative to the elements comes out at -0.89 eV per atom.

Entry 6:
Crystalline Dy3In4Co2 at its relaxed geometry. Source: Alexandria via LeMat-Bulk, functional PBEsol.

```
Dy3In4Co2
1.0
-2.646 2.345 0.676
-1.582 -3.682 6.578
5.102 5.771 -0.053
Co In Dy
2 4 3
direct
0.000 0.000 0.000 Co
0.500 0.333 0.667 Co
0.000 0.667 0.333 In
0.000 0.081 0.664 In
0.000 0.583 0.919 In
0.000 0.336 0.417 In
0.500 0.755 0.707 Dy
0.500 0.293 0.048 Dy
0.500 0.952 0.245 Dy
```

Computed properties:
As for the density of states at the Fermi level: 0.8749 states/eV/atom. Its total energy is -5.130 eV/atom. The energy relative to the elements comes out at -0.43 eV per atom.

Entry 7:
Crystalline ScFeTc2 at its relaxed geometry. Source: Alexandria via LeMat-Bulk, functional PBEsol.

```
ScFeTc2
1.0
-0.497 2.551 0.841
-1.663 -1.548 3.711
4.521 -0.578 1.784
Tc Fe Sc
2 1 1
direct
0.720 0.000 0.755 Tc
0.280 0.000 0.245 Tc
0.500 0.500 0.000 Fe
0.000 0.500 0.500 Sc
```

Computed properties:
As for the density of states at the Fermi level: 1.1100 states/eV/atom. Its total energy is -9.413 eV/atom. The calculation puts the distance to the lowest polymorph of the same formula at 38.4 meV/atom. The energy relative to the elements comes out at 0.11 eV per atom.

Entry 8:
Crystalline MnBe3Pd at its relaxed geometry. Source: Alexandria via LeMat-Bulk, functional PBEsol.

```
MnBe3Pd
1.0
4.123 0.000 0.000
0.000 4.123 0.000
0.000 0.000 4.123
Pd Mn Be
1 1 3
direct
0.000 0.000 0.000 Pd
0.500 0.500 0.500 Mn
0.000 0.500 0.000 Be
0.000 0.000 0.500 Be
0.500 0.000 0.000 Be
```

Computed properties:
As for the density of states at the Fermi level: 0.5556 states/eV/atom. Its total energy is -4.911 eV/atom. The energy relative to the elements comes out at 0.63 eV per atom.

Entry 9:
Crystalline KSc2Sb at its relaxed geometry. Source: Alexandria via LeMat-Bulk, functional PBEsol.

```
KSc2Sb
1.0
3.733 0.000 0.000
0.000 3.873 0.000
0.000 0.000 8.381
K Sb Sc
1 1 2
direct
0.000 0.000 0.536 K
0.500 0.500 0.825 Sb
0.500 0.500 0.170 Sc
0.000 0.000 0.969 Sc
```

Computed properties:
As for the density of states at the Fermi level: 0.9443 states/eV/atom. Its total energy is -4.927 eV/atom. The value obtained for the uncorrected formation energy is -202 meV per atom.

Entry 10:
Crystalline BeNi2Cl at its relaxed geometry. Source: Alexandria via LeMat-Bulk, functional PBEsol.

```
BeNi2Cl
1.0
-0.023 1.778 -2.642
2.268 -2.199 0.419
-4.650 -2.807 -1.849
Ni Be Cl
2 1 1
direct
0.772 0.545 0.821 Ni
0.228 0.455 0.179 Ni
0.500 0.000 0.000 Be
0.000 0.000 0.500 Cl
```

Computed properties:
As for the density of states at the Fermi level: 0.6076 states/eV/atom. Its total energy is -4.512 eV/atom. The calculation puts the distance to the lowest polymorph of the same formula at 0.0 meV/atom. The value obtained for the uncorrected formation energy is 68 meV per atom.

Entry 11:
Crystalline V3Ga2 at its relaxed geometry. Source: Alexandria via LeMat-Bulk, functional PBEsol.

```
V3Ga2
1.0
6.450 0.000 0.000
0.000 6.450 0.000
0.000 0.000 6.450
V Ga
12 8
direct
0.041 0.875 0.709 V
0.959 0.375 0.791 V
0.625 0.291 0.541 V
0.459 0.125 0.209 V
0.791 0.959 0.375 V
0.209 0.459 0.125 V
0.875 0.709 0.041 V
0.375 0.791 0.959 V
0.709 0.041 0.875 V
0.125 0.209 0.459 V
0.291 0.541 0.625 V
0.541 0.625 0.291 V
0.814 0.314 0.186 Ga
0.436 0.936 0.564 Ga
0.314 0.186 0.814 Ga
0.186 0.814 0.314 Ga
0.064 0.064 0.064 Ga
0.686 0.686 0.686 Ga
0.564 0.436 0.936 Ga
0.936 0.564 0.436 Ga
```

Computed properties:
As for the density of states at the Fermi level: 0.7533 states/eV/atom. Its total energy is -7.267 eV/atom. The energy relative to the elements comes out at -0.15 eV per atom.

Entry 12:
Crystalline HgGe2TeN at its relaxed geometry. Source: Alexandria via LeMat-Bulk, functional PBEsol.

```
HgGe2TeN
1.0
5.177 0.000 0.000
0.000 5.177 0.000
0.000 0.000 5.629
Hg Ge N Te
1 2 1 1
direct
0.000 0.000 0.000 Hg
0.000 0.500 0.000 Ge
0.500 0.000 0.000 Ge
0.500 0.500 0.500 N
0.000 0.000 0.500 Te
```

Computed properties:
As for the density of states at the Fermi level: 0.6984 states/eV/atom. Its total energy is -2.703 eV/atom. The value obtained for the uncorrected formation energy is 1797 meV per atom.

Entry 13:
Crystalline Os2RuPt2 at its relaxed geometry. Source: Alexandria via LeMat-Bulk, functional PBEsol.

```
Os2RuPt2
1.0
-0.068 2.065 2.944
2.164 -2.328 1.683
3.888 3.230 -4.374
Os Pt Ru
2 2 1
direct
0.405 0.405 0.810 Os
0.595 0.595 0.190 Os
0.750 0.250 0.500 Pt
0.250 0.750 0.500 Pt
0.000 0.000 0.000 Ru
```

Computed properties:
As for the density of states at the Fermi level: 1.1461 states/eV/atom. Its total energy is -8.909 eV/atom. The energy relative to the elements comes out at 0.80 eV per atom.

Entry 14:
Crystalline PbBr5 at its relaxed geometry. Source: Alexandria via LeMat-Bulk, functional PBEsol.

```
PbBr5
1.0
5.020 0.000 0.000
0.000 5.467 0.000
-2.510 0.000 7.217
Pb Br
1 5
direct
0.028 0.000 0.055 Pb
0.368 0.500 0.737 Br
0.368 0.000 0.736 Br
0.833 0.500 0.666 Br
0.634 0.000 0.268 Br
0.103 0.500 0.205 Br
```

Computed properties:
As for the density of states at the Fermi level: 0.5637 states/eV/atom. Its total energy is -2.503 eV/atom. The calculation puts the distance to the lowest polymorph of the same formula at 0.0 meV/atom. The value obtained for the uncorrected formation energy is -278 meV per atom.